Record 1
This record from Alexandria via LeMat-Bulk describes a relaxed Ge2AuSe crystal. The functional is PBE.

Cell: 4.1768 4.1768 7.3638 Å, 73.52 73.52 60.00°
Last column: nearest neighbours and their distance in Å.
Sites, in units of the cell vectors:
1 Ge 0.1146 0.1146 0.6563  1 Se 2.39, 3 Au 2.65
2 Ge 0.8854 0.8854 0.3437  1 Se 2.39, 3 Au 2.65
3 Au 0.5000 0.5000 0.5000  6 Ge 2.65
4 Se 0.0000 0.0000 0.0000  2 Ge 2.39

Output
* spin magnetization: 0.000 μB per atom
* final energy: -3.901 eV per atom



Record 2
This record from Alexandria via LeMat-Bulk describes a relaxed Ge2AuSe crystal. The functional is PBE.

Cell: 3.7138 3.7138 7.3877 Å, 75.44 75.44 60.00°
Last column: nearest neighbours and their distance in Å.
Sites, in units of the cell vectors:
1 Ge 0.0843 0.0843 0.7470  3 Au 2.74, 3 Se 2.76
2 Ge 0.2483 0.2483 0.2551  3 Au 2.78, 3 Se 2.84
3 Au 0.4981 0.4981 0.5057  6 Ge 2.74-2.78
4 Se 0.6693 0.6693 0.9921  6 Ge 2.76-2.84

Output
* spin magnetization: 0.000 μB per atom
* final energy: -3.963 eV per atom